CuHgI4, optimized geometry, DFT PBE; energy relative to the lowest polymorph listed for this composition = 0.00 eV per formula unit; SG = I4_1/a, No. 88; N(E_F) = 8.09 states/eV/f.u.
1.0
-3.0157 3.0157 13.6337
3.0157 -3.0157 13.6337
3.0157 3.0157 -13.6337
Cu Hg I
2 2 8
Direct
0.3750 0.1250 0.2500 Cu
0.6250 0.8750 0.7500 Cu
0.1250 0.3750 0.7500 Hg
0.8750 0.6250 0.2500 Hg
0.0831 0.8320 0.7888 I
0.2057 0.4169 0.2489 I
0.3320 0.0432 0.7489 I
0.4568 0.7057 0.2888 I
0.5432 0.2943 0.7112 I
0.6680 0.9568 0.2511 I
0.7943 0.5831 0.7511 I
0.9169 0.1680 0.2112 I

Cu2Hg2I7, optimized geometry, DFT PBE; SG = C2/c, No. 15; N(E_F) = 4.67 states/eV/f.u.
1.0
5.5055 -6.7998 0.0000
5.5055 6.7998 0.0000
-3.7771 0.0000 14.0630
Cu Hg I
4 4 14
Direct
0.0510 0.3268 0.2710 Cu
0.3268 0.0510 0.7710 Cu
0.6732 0.9490 0.2290 Cu
0.9490 0.6732 0.7290 Cu
0.1303 0.2104 0.0040 Hg
0.2104 0.1303 0.5040 Hg
0.7896 0.8697 0.4960 Hg
0.8697 0.7896 0.9960 Hg
0.0457 0.8078 0.4038 I
0.1279 0.4802 0.1431 I
0.1922 0.9543 0.0962 I
0.2434 0.7566 0.7500 I
0.3045 0.3405 0.3844 I
0.3405 0.3045 0.8844 I
0.4802 0.1279 0.6431 I
0.5198 0.8721 0.3569 I
0.6595 0.6955 0.1156 I
0.6955 0.6595 0.6156 I
0.7566 0.2434 0.2500 I
0.8078 0.0457 0.9038 I
0.8721 0.5198 0.8569 I
0.9543 0.1922 0.5962 I

Cu5Hg12I3, optimized geometry, DFT PBE; SG = Ia-3d, No. 230; N(E_F) = 2.22 states/eV/f.u.
1.0
-8.5770 8.5770 8.5770
8.5770 -8.5770 8.5770
8.5770 8.5770 -8.5770
Cu Hg I
20 48 12
Direct
0.0000 0.0000 0.0000 Cu
0.0000 0.0000 0.5000 Cu
0.0000 0.5000 0.0000 Cu
0.0000 0.5000 0.5000 Cu
0.1250 0.7500 0.8750 Cu
0.1250 0.8750 0.2500 Cu
0.2500 0.1250 0.8750 Cu
0.2500 0.6250 0.3750 Cu
0.3750 0.2500 0.6250 Cu
0.3750 0.6250 0.7500 Cu
0.5000 0.0000 0.0000 Cu
0.5000 0.0000 0.5000 Cu
0.5000 0.5000 0.0000 Cu
0.5000 0.5000 0.5000 Cu
0.6250 0.3750 0.2500 Cu
0.6250 0.7500 0.3750 Cu
0.7500 0.3750 0.6250 Cu
0.7500 0.8750 0.1250 Cu
0.8750 0.1250 0.7500 Cu
0.8750 0.2500 0.1250 Cu
0.0105 0.1930 0.0851 Hg
0.0105 0.3174 0.9254 Hg
0.0746 0.5851 0.3921 Hg
0.0746 0.9895 0.6826 Hg
0.0851 0.0105 0.1930 Hg
0.0851 0.5746 0.8921 Hg
0.1079 0.6931 0.6826 Hg
0.1079 0.9149 0.4254 Hg
0.1826 0.1930 0.6079 Hg
0.1826 0.4895 0.5746 Hg
0.1930 0.0851 0.0105 Hg
0.1930 0.6079 0.1826 Hg
0.3070 0.3174 0.8921 Hg
0.3070 0.4895 0.4149 Hg
0.3174 0.8921 0.3070 Hg
0.3174 0.9254 0.0105 Hg
0.3921 0.0746 0.5851 Hg
0.3921 0.8174 0.8069 Hg
0.4149 0.3070 0.4895 Hg
0.4149 0.6079 0.9254 Hg
0.4254 0.1079 0.9149 Hg
0.4254 0.8174 0.5105 Hg
0.4895 0.4149 0.3070 Hg
0.4895 0.5746 0.1826 Hg
0.5105 0.4254 0.8174 Hg
0.5105 0.5851 0.6931 Hg
0.5746 0.1826 0.4895 Hg
0.5746 0.8921 0.0851 Hg
0.5851 0.3921 0.0746 Hg
0.5851 0.6931 0.5105 Hg
0.6079 0.1826 0.1930 Hg
0.6079 0.9254 0.4149 Hg
0.6826 0.0746 0.9895 Hg
0.6826 0.1079 0.6931 Hg
0.6931 0.5105 0.5851 Hg
0.6931 0.6826 0.1079 Hg
0.8069 0.3921 0.8174 Hg
0.8069 0.9149 0.9895 Hg
0.8174 0.5105 0.4254 Hg
0.8174 0.8069 0.3921 Hg
0.8921 0.0851 0.5746 Hg
0.8921 0.3070 0.3174 Hg
0.9149 0.4254 0.1079 Hg
0.9149 0.9895 0.8069 Hg
0.9254 0.0105 0.3174 Hg
0.9254 0.4149 0.6079 Hg
0.9895 0.6826 0.0746 Hg
0.9895 0.8069 0.9149 Hg
0.1250 0.2500 0.3750 I
0.1250 0.3750 0.7500 I
0.2500 0.3750 0.1250 I
0.2500 0.8750 0.6250 I
0.3750 0.1250 0.2500 I
0.3750 0.7500 0.1250 I
0.6250 0.2500 0.8750 I
0.6250 0.8750 0.7500 I
0.7500 0.1250 0.3750 I
0.7500 0.6250 0.8750 I
0.8750 0.6250 0.2500 I
0.8750 0.7500 0.6250 I

CuHgI, optimized geometry, DFT PBE; SG = P3m1, No. 156
1.0
4.3517 0.0000 0.0000
-2.1759 3.7687 0.0000
0.0000 0.0000 7.0761
Cu Hg I
1 1 1
Direct
0.0000 0.0000 0.0000 Cu
0.6667 0.3333 0.4407 Hg
0.3333 0.6667 0.9599 I

CuHgI3, optimized geometry, DFT PBE; energy relative to the lowest polymorph listed for this composition = 0.30 eV per formula unit; SG = C2/m, No. 12; N(E_F) = 0.48 states/eV/f.u.
1.0
8.3591 -2.0993 0.0000
8.3591 2.0993 0.0000
-1.3440 0.0000 11.2681
Cu Hg I
2 2 6
Direct
0.1601 0.1601 0.4731 Cu
0.8399 0.8399 0.5269 Cu
0.4336 0.4336 0.1845 Hg
0.5664 0.5664 0.8155 Hg
0.1339 0.1339 0.9664 I
0.3017 0.3017 0.3749 I
0.4285 0.4285 0.6556 I
0.5715 0.5715 0.3444 I
0.6983 0.6983 0.6251 I
0.8661 0.8661 0.0336 I

CuHgI3, optimized geometry, DFT PBE; energy relative to the lowest polymorph listed for this composition = 1.68 eV per formula unit; SG = Pm-3m, No. 221; N(E_F) = 7.60 states/eV/f.u.
1.0
5.4802 0.0000 0.0000
0.0000 5.4802 0.0000
0.0000 0.0000 5.4802
Cu Hg I
1 1 3
Direct
0.0000 0.0000 0.0000 Cu
0.5000 0.5000 0.5000 Hg
0.0000 0.0000 0.5000 I
0.0000 0.5000 0.0000 I
0.5000 0.0000 0.0000 I

CuHg3I, optimized geometry, DFT PBE; energy relative to the lowest polymorph listed for this composition = 0.00 eV per formula unit; SG = Pm-3m, No. 221; N(E_F) = 1.39 states/eV/f.u.
1.0
5.2617 0.0000 0.0000
0.0000 5.2617 0.0000
0.0000 0.0000 5.2617
Cu Hg I
1 3 1
Direct
0.0000 0.0000 0.0000 Cu
0.0000 0.0000 0.5000 Hg
0.0000 0.5000 0.0000 Hg
0.5000 0.0000 0.0000 Hg
0.5000 0.5000 0.5000 I

Cu2Hg2I, optimized geometry, DFT PBE; energy relative to the lowest polymorph listed for this composition = 0.26 eV per formula unit; SG = P4/mbm, No. 127; N(E_F) = 1.97 states/eV/f.u.
1.0
7.3538 0.0000 0.0000
0.0000 7.3538 0.0000
0.0000 0.0000 4.1130
Cu Hg I
4 4 2
Direct
0.1223 0.3777 0.0000 Cu
0.3777 0.8777 0.0000 Cu
0.6223 0.1223 0.0000 Cu
0.8777 0.6223 0.0000 Cu
0.1554 0.6554 0.5000 Hg
0.3446 0.1554 0.5000 Hg
0.6554 0.8446 0.5000 Hg
0.8446 0.3446 0.5000 Hg
0.0000 0.0000 0.0000 I
0.5000 0.5000 0.0000 I

Record-wise ρ values, in g/cm³: 5.17, 4.47, 8.17, 5.60, 5.42, 6.51, 9.03, 9.78
Record-wise uncorrected energy values, in Ry/atom: -0.1421, -0.1450, -0.0951, -0.1462, -0.1435, -0.1233, -0.0940, -0.1320
Record-wise formation energy (no corrections) values, in eV per atom: -0.168, -0.186, 0.143, -0.007, -0.143, 0.132, 0.031, 0.274